DFT (PBE) results for a relaxed structure of TcHgIr2.

Values from the calculation:
Space group ... No. 123
Calculated formation energy ... 0.09 eV/atom
E_tot ... -28.03 eV for the cell shown

Lattice parameters (Å, degrees): 2.819 2.819 8.059 90.00 90.00 90.00
Positions (direct):
Tc 0.000 0.000 0.000
Hg 0.000 0.000 0.500
Ir 0.500 0.500 0.222
Ir 0.500 0.500 0.778